[1]
The following is a DFT calculation (GGA-PBEsol) of an optimized crystal structure of AlCu2Ni3.

Unit cell a=4.987 b=4.987 c=6.141 alpha=90.00 beta=90.00 gamma=120.00
Fractional coordinates of all 12 atoms:
Al  0.667  0.333  0.651
Al  0.333  0.667  0.349
Cu  0.000  0.000  0.000
Cu  0.500  0.500  0.000
Cu  0.000  0.500  0.000
Cu  0.500  0.000  0.000
Ni  0.835  0.671  0.332
Ni  0.835  0.165  0.332
Ni  0.329  0.165  0.332
Ni  0.165  0.329  0.668
Ni  0.671  0.835  0.668
Ni  0.165  0.835  0.668

Output
Total energy: -5.467 eV/atom
Offset from the most stable computed form: 0 meV/atom
Crystal system: trigonal
Symmetry: P-3m1, No. 164
Density of states at the Fermi level: 5.369 states/eV/f.u.



[2]
The following is a DFT calculation (GGA-PBEsol) of an optimized crystal structure of LaZr3Sn.

Unit cell a=5.339 b=5.339 c=5.339 alpha=90.00 beta=90.00 gamma=90.00
Fractional coordinates of all 5 atoms:
Sn  0.000  0.000  0.000
Zr  0.000  0.500  0.000
Zr  0.000  0.000  0.500
Zr  0.500  0.000  0.000
La  0.500  0.500  0.500

Output
Total energy: -6.744 eV/atom
Crystal system: cubic
Symmetry: Pm-3m, No. 221
Density of states at the Fermi level: 10.342 states/eV/f.u.



E_form? In order: -0.261 0.631 eV per atom.